No. 1
CoCu2Ru after structural relaxation. Source: the Alexandria database, functional GGA-PBE.

Properties
Polymorph energy (0 for the lowest one) in meV/atom: 77
Formation energy in eV per atom: 0.233
N(E_F) in states/eV/cell: 10.83

```
data_CoCu2Ru
_symmetry_space_group_name_H-M 'R -3 m'
_symmetry_Int_Tables_number 166
_symmetry_space_group_name_Hall '-R 3 2"'
_cell_length_a 2.5927
_cell_length_b 2.5927
_cell_length_c 25.6819
_cell_angle_alpha 90.00
_cell_angle_beta 90.00
_cell_angle_gamma 120.00
loop_
_atom_site_label
_atom_site_type_symbol
_atom_site_fract_x
_atom_site_fract_y
_atom_site_fract_z
Co1 Co 0.0000 0.0000 0.0000
Cu1 Cu 0.0000 0.0000 0.2529
Ru1 Ru 0.0000 0.0000 0.5000
```

No. 2
V4Ge2S after structural relaxation. Source: the Alexandria database, functional GGA-PBE.

Properties
Energy relative to the elements, uncorrected in kcal/mol of atoms: 1.6
N(E_F) in states/eV/cell: 14.41

```
data_V4Ge2S
_symmetry_space_group_name_H-M 'I 4/m m m'
_symmetry_Int_Tables_number 139
_symmetry_space_group_name_Hall '-I 4 2'
_cell_length_a 4.168
_cell_length_b 4.168
_cell_length_c 13.123
_cell_angle_alpha 90.00
_cell_angle_beta 90.00
_cell_angle_gamma 90.00
loop_
_atom_site_label
_atom_site_type_symbol
_atom_site_fract_x
_atom_site_fract_y
_atom_site_fract_z
V1 V 0.000 0.000 0.172
V2 V 0.000 0.500 0.000
Ge1 Ge 0.000 0.000 0.361
S1 S 0.000 0.000 0.000
```

No. 3
ErTm2Sc10 after structural relaxation. Source: the Alexandria database, functional GGA-PBE.

Properties
Formation energy in eV per atom: 0.270
N(E_F) in states/eV/cell: 120.29

```
data_ErTm2Sc10
_symmetry_space_group_name_H-M 'F m m m'
_symmetry_Int_Tables_number 69
_symmetry_space_group_name_Hall '-F 2 2'
_cell_length_a 6.117
_cell_length_b 14.188
_cell_length_c 16.319
_cell_angle_alpha 90.00
_cell_angle_beta 90.00
_cell_angle_gamma 90.00
loop_
_atom_site_label
_atom_site_type_symbol
_atom_site_fract_x
_atom_site_fract_y
_atom_site_fract_z
Er1 Er 0.000 0.000 0.000
Tm1 Tm 0.250 0.000 0.250
Sc1 Sc 0.000 0.105 0.401
Sc2 Sc 0.000 0.187 0.167
Sc3 Sc 0.250 0.250 0.000
```

No. 4
Cs2SiSBr6 after structural relaxation. Source: the Alexandria database, functional GGA-PBE.

Properties
Energy relative to the elements, uncorrected in kcal/mol of atoms: -18.9
N(E_F) in states/eV/cell: 1.56

```
data_Cs2SiSBr6
_symmetry_space_group_name_H-M 'I 4/m m m'
_symmetry_Int_Tables_number 139
_symmetry_space_group_name_Hall '-I 4 2'
_cell_length_a 8.050
_cell_length_b 8.050
_cell_length_c 10.451
_cell_angle_alpha 90.00
_cell_angle_beta 90.00
_cell_angle_gamma 90.00
loop_
_atom_site_label
_atom_site_type_symbol
_atom_site_fract_x
_atom_site_fract_y
_atom_site_fract_z
Cs1 Cs 0.000 0.500 0.250
Si1 Si 0.000 0.000 0.000
S1 S 0.000 0.000 0.500
Br1 Br 0.000 0.000 0.258
Br2 Br 0.214 0.214 0.000
```